*i*
Sm3YRh after structural relaxation. Source: Alexandria, functional PBE.

Magnetic moment: 0.000 μB per atom

abc: 7.6939 6.6119 6.2680
angles: 90.00 90.00 90.00
Fractional coordinates of all 10 atoms:
Sm 0.0000 0.1492 0.0000
Sm 0.2482 0.3134 0.5056
Sm 0.2518 0.6866 0.0056
Sm 0.5000 0.8508 0.5000
Sm 0.7482 0.6866 0.0056
Sm 0.7518 0.3134 0.5056
Y 0.0000 0.8440 0.5138
Y 0.5000 0.1560 0.0138
Rh 0.0000 0.5025 0.2543
Rh 0.5000 0.4975 0.7543

---

*ii*
Sm3YRh after structural relaxation. Source: Alexandria, functional PBE.

Magnetic moment: 0.145 μB per atom

abc: 5.5135 5.5135 5.5135
angles: 90.00 90.00 90.00
Fractional coordinates of all 5 atoms:
Sm 0.0000 0.0000 0.5000
Sm 0.0000 0.5000 0.0000
Sm 0.5000 0.0000 0.0000
Y 0.5000 0.5000 0.5000
Rh 0.0000 0.0000 0.0000

---

*iii*
Sm3YRh after structural relaxation. Source: Alexandria, functional PBE.

Magnetic moment: 0.000 μB per atom

abc: 6.3902 6.3902 13.9981
angles: 114.04 114.04 34.61
Fractional coordinates of all 10 atoms:
Sm 0.0000 0.0000 0.0000
Sm 0.0092 0.0092 0.3594
Sm 0.3436 0.3436 0.4738
Sm 0.4521 0.4521 0.7545
Sm 0.6610 0.6610 0.2377
Sm 0.6725 0.6725 0.6002
Y 0.2202 0.2202 0.8458
Y 0.3269 0.3269 0.1206
Rh 0.0120 0.0120 0.6319
Rh 0.6620 0.6620 0.9685

---

Which one is most stable, and which one is least stable? *iii* is the most stable of them, while *ii* is the least stable.

---

*i*
Sm2YRh3 after structural relaxation. Source: Alexandria, functional PBE.

Magnetic moment: 0.000 μB per atom

abc: 4.9221 4.9221 6.0174
angles: 90.00 90.00 120.00
Fractional coordinates of all 6 atoms:
Sm 0.3333 0.6667 0.1680
Sm 0.6667 0.3333 0.8320
Y 0.0000 0.0000 0.5000
Rh 0.0000 0.0000 0.0000
Rh 0.3333 0.6667 0.6627
Rh 0.6667 0.3333 0.3373

---

*ii*
Sm2YRh3 after structural relaxation. Source: Alexandria, functional PBE.

Magnetic moment: 0.000 μB per atom

abc: 3.4742 3.4742 10.4739
angles: 90.00 90.00 90.00
Fractional coordinates of all 6 atoms:
Sm 0.0000 0.0000 0.1684
Sm 0.0000 0.0000 0.8316
Y 0.0000 0.0000 0.5000
Rh 0.5000 0.5000 0.0000
Rh 0.5000 0.5000 0.3372
Rh 0.5000 0.5000 0.6628

---

Which one is most stable, and which one is least stable? *i* is the most stable of them, while *ii* is the least stable.

---

*i*
Sm2YRh2 after structural relaxation. Source: Alexandria, functional PBE.

Magnetic moment: 0.000 μB per atom

abc: 5.7063 4.3613 10.5499
angles: 90.00 99.53 90.00
Fractional coordinates of all 10 atoms:
Sm 0.1093 0.2500 0.3833
Sm 0.2322 0.7500 0.9634
Sm 0.7678 0.2500 0.0366
Sm 0.8907 0.7500 0.6167
Y 0.4539 0.2500 0.7086
Y 0.5461 0.7500 0.2914
Rh 0.3146 0.2500 0.1403
Rh 0.3451 0.7500 0.5357
Rh 0.6549 0.2500 0.4643
Rh 0.6854 0.7500 0.8597

---

*ii*
Sm2YRh2 after structural relaxation. Source: Alexandria, functional PBE.

Magnetic moment: 0.000 μB per atom

abc: 13.5375 13.5375 4.7191
angles: 90.00 90.00 163.83
Fractional coordinates of all 10 atoms:
Sm 0.0521 0.9479 0.7500
Sm 0.2667 0.7333 0.2500
Sm 0.7333 0.2667 0.7500
Sm 0.9479 0.0521 0.2500
Y 0.3642 0.6358 0.7500
Y 0.6358 0.3642 0.2500
Rh 0.1590 0.8410 0.7500
Rh 0.4666 0.5334 0.7500
Rh 0.5334 0.4666 0.2500
Rh 0.8410 0.1590 0.2500

---

Which one is most stable, and which one is least stable? *i* is the most stable of them, while *ii* is the least stable.

---

*i*
SmY2Rh2 after structural relaxation. Source: Alexandria, functional PBE.

Magnetic moment: 0.000 μB per atom

abc: 5.5922 4.3839 10.4888
angles: 90.00 98.43 90.00
Fractional coordinates of all 10 atoms:
Sm 0.0565 0.2500 0.2868
Sm 0.9435 0.7500 0.7132
Y 0.2695 0.7500 0.0339
Y 0.3855 0.2500 0.6146
Y 0.6145 0.7500 0.3854
Y 0.7305 0.2500 0.9661
Rh 0.1558 0.7500 0.4650
Rh 0.1929 0.2500 0.8617
Rh 0.8071 0.7500 0.1383
Rh 0.8442 0.2500 0.5350

---

*ii*
SmY2Rh2 after structural relaxation. Source: Alexandria, functional PBE.

Magnetic moment: 0.000 μB per atom

abc: 13.2159 13.2159 4.6581
angles: 90.00 90.00 162.96
Fractional coordinates of all 10 atoms:
Sm 0.1364 0.8636 0.7500
Sm 0.8636 0.1364 0.2500
Y 0.2371 0.7629 0.2500
Y 0.4478 0.5522 0.7500
Y 0.5522 0.4478 0.2500
Y 0.7629 0.2371 0.7500
Rh 0.0318 0.9682 0.7500
Rh 0.3364 0.6636 0.7500
Rh 0.6636 0.3364 0.2500
Rh 0.9682 0.0318 0.2500

---

Which one is most stable, and which one is least stable? *i* is the most stable of them, while *ii* is the least stable.